A plane-wave DFT calculation with PBE was carried out for crystalline BaNa2TiBr8 at its relaxed geometry.

The structure in POSCAR format:
```
BaNa2TiBr8
1.0
6.9097 0.0112 -0.0028
0.0399 6.7880 -0.0016
0.0079 0.0186 9.0955
Ba Na Ti Br
1 2 1 8
Direct
0.0000 0.0000 0.5000
0.4996 0.4995 0.7455
0.5004 0.5005 0.2545
0.0000 0.0000 0.0000
0.1553 0.7825 0.1968
0.7085 0.7803 0.9999
0.8440 0.2169 0.1964
0.8447 0.2175 0.8032
0.2915 0.2197 0.0001
0.1560 0.7831 0.8036
0.6454 0.7207 0.5000
0.3546 0.2793 0.5000
```

Computed properties:
* ΔE_f (raw): -142.33 kJ/mol of atoms
* total magnetization: 0.000 μB/f.u.
* volume: 35.55 A^3/atom